VASP calculation (PBE) on a geometry-optimized YZnCu3Ni structure.

Lattice parameters (Å, degrees): 5.3485 13.4750 5.1042 90.00 90.00 90.00
Space group Cmcm (No. 63)
Symmetry-distinct sites (fractional):
Y (0.0000, 0.1897, 0.2500)
Zn (0.0000, 0.3920, 0.2500)
Cu (0.0000, 0.3557, 0.7500)
Cu (0.2263, 0.0000, 0.0000)
Ni (0.0000, 0.1431, 0.7500)

=====

VASP calculation (PBE) on a geometry-optimized YZn6CuNi structure.

Lattice parameters (Å, degrees): 6.9491 8.4176 10.5957 90.00 90.00 90.00
Space group Imma (No. 74)
Symmetry-distinct sites (fractional):
Y (0.0000, 0.2500, 0.1890)
Zn (0.0000, 0.2500, 0.4980)
Zn (0.0000, 0.2500, 0.9055)
Zn (0.1930, 0.0000, 0.3743)
Cu (0.2500, 0.2500, 0.7500)
Ni (0.0000, 0.0000, 0.0000)

=====

VASP calculation (PBE) on a geometry-optimized Y2ZnCu12Ni3 structure.

Lattice parameters (Å, degrees): 8.4573 8.4573 12.2627 90.00 90.00 120.00
Space group R-3m (No. 166, hexagonal axes)
Symmetry-distinct sites (fractional):
Y (0.0000, 0.0000, 0.2454)
Zn (0.0000, 0.0000, 0.5000)
Cu (0.0151, 0.5076, 0.2069)
Cu (0.0491, 0.5246, 0.6005)
Ni (0.0000, 0.5000, 0.0000)

=====

VASP calculation (PBE) on a geometry-optimized YZnCu2Ni structure.

Lattice parameters (Å, degrees): 3.7967 3.8342 11.0995 90.00 90.00 90.00
Space group Imm2 (No. 44)
Symmetry-distinct sites (fractional):
Y (0.0000, 0.0000, 0.0000)
Zn (0.0000, 0.5000, 0.7595)
Cu (0.0000, 0.0000, 0.6159)
Cu (0.0000, 0.5000, 0.2616)
Ni (0.0000, 0.0000, 0.4010)

=====

VASP calculation (PBE) on a geometry-optimized Y2ZrCuNi structure.

Lattice parameters (Å, degrees): 5.2328 5.2328 4.7502 90.00 90.00 90.00
Space group P4/mmm (No. 123)
Symmetry-distinct sites (fractional):
Y (0.0000, 0.5000, 0.0000)
Zr (0.0000, 0.0000, 0.5000)
Cu (0.5000, 0.5000, 0.5000)
Ni (0.0000, 0.0000, 0.0000)

=====

VASP calculation (PBE) on a geometry-optimized YbCu2Ni3 structure.

Lattice parameters (Å, degrees): 4.8803 4.8803 3.9949 90.00 90.00 120.00
Space group P6/mmm (No. 191)
Symmetry-distinct sites (fractional):
Yb (0.0000, 0.0000, 0.0000)
Cu (0.3333, 0.6667, 0.0000)
Ni (0.0000, 0.5000, 0.5000)

=====

no.,formation enthalpy at 0 K (eV/f.u.),magnetic moment (μB/f.u.)
1,-0.40,0.0
2,-0.15,0.0
3,0.29,0.0
4,-1.25,0.0
5,1.29,0.0
6,-1.56,0.0